No. 1
## Li2Cd2Ga2IrAu (PBE)

Data for Li2Cd2Ga2IrAu after structural relaxation.

Results
Crystal system = tetragonal
Raw total energy = -26.3 eV for the cell shown

Lattice parameters (Å, degrees): 4.473 4.473 6.499 90.00 90.00 90.00
Space group P-4m2 (No. 115)
One atom of each set of equivalent atoms:
Li1 0.000 0.000 0.000 [1 per cell]
Li2 0.500 0.500 0.500 [1 per cell]
Cd1 0.000 0.500 0.248 [2 per cell]
Ga1 0.000 0.500 0.777 [2 per cell]
Ir1 0.500 0.500 0.000 [1 per cell]
Au1 0.000 0.000 0.500 [1 per cell]

---

No. 2
## KSiAgSe3 (PBE)

Data for KSiAgSe3 after structural relaxation.

Results
Crystal system = orthorhombic
Energy above the lowest structure with this stoichiometry = 0 meV per atom
Raw total energy = -89.9 eV for the cell shown

Lattice parameters (Å, degrees): 14.430 3.865 10.606 90.00 90.00 90.00
Space group Pnma (No. 62)
One atom of each set of equivalent atoms:
K1 0.142 0.250 0.008 [4 per cell]
Si1 0.039 0.750 0.638 [4 per cell]
Ag1 0.201 0.750 0.258 [4 per cell]
Se1 0.027 0.750 0.226 [4 per cell]
Se2 0.099 0.250 0.497 [4 per cell]
Se3 0.178 0.750 0.764 [4 per cell]

---

No. 3
## FeH (PBE)

Data for FeH after structural relaxation.

Results
Crystal system = cubic
Raw total energy = -46.7 eV for the cell shown

Lattice parameters (Å, degrees): 3.733 3.733 3.733 90.00 90.00 90.00
Space group Fm-3m (No. 225)
One atom of each set of equivalent atoms:
Fe1 0.000 0.000 0.000 [4 per cell]
H1 0.000 0.000 0.500 [4 per cell]

---

Please write out number 2 again, unchanged.
## KSiAgSe3 (PBE)

Data for KSiAgSe3 after structural relaxation.

Results
Crystal system = orthorhombic
Energy above the lowest structure with this stoichiometry = 0 meV per atom
Raw total energy = -89.9 eV for the cell shown

Lattice parameters (Å, degrees): 14.430 3.865 10.606 90.00 90.00 90.00
Space group Pnma (No. 62)
One atom of each set of equivalent atoms:
K1 0.142 0.250 0.008 [4 per cell]
Si1 0.039 0.750 0.638 [4 per cell]
Ag1 0.201 0.750 0.258 [4 per cell]
Se1 0.027 0.750 0.226 [4 per cell]
Se2 0.099 0.250 0.497 [4 per cell]
Se3 0.178 0.750 0.764 [4 per cell]

---

raw total energy of number 3 (FeH)?
-46.7 eV for the cell shown

---

raw total energy of number 1 (Li2Cd2Ga2IrAu)?
-26.3 eV for the cell shown